The following is a DFT calculation (PBE) of a geometry-optimized HoAsSe3 structure.

As for the uncorrected energy: -145.1 eV for the cell shown. The raw formation energy comes out at -0.90 eV/atom. As for the calculated volume: 28.28 Å³ per atom.

```
data_HoAsSe3
_symmetry_space_group_name_H-M 'R -3'
_symmetry_Int_Tables_number 148
_symmetry_space_group_name_Hall '-R 3'
_cell_length_a 7.0352
_cell_length_b 7.0352
_cell_length_c 19.7912
_cell_angle_alpha 90.00
_cell_angle_beta 90.00
_cell_angle_gamma 120.00
loop_
_atom_site_label
_atom_site_fract_x
_atom_site_fract_y
_atom_site_fract_z
Ho1 0.0000 0.0000 0.1437
As1 0.0000 0.0000 0.3126
Se1 0.0177 0.6348 0.9116
```

The following is a DFT calculation (PBE) of a geometry-optimized Tb2CeTm2 structure.

The density of states at the Fermi level comes out at 11.59 states/eV/f.u. As for the uncorrected energy: -44.1 eV for the cell shown. The calculation puts the calculated formation energy at 0.420 eV/atom. As for the calculated volume: 33.38 Å³ per atom.

```
data_Tb2CeTm2
_symmetry_space_group_name_H-M 'I 4/m m m'
_symmetry_Int_Tables_number 139
_symmetry_space_group_name_Hall '-I 4 2'
_cell_length_a 4.475
_cell_length_b 4.475
_cell_length_c 16.671
_cell_angle_alpha 90.00
_cell_angle_beta 90.00
_cell_angle_gamma 90.00
loop_
_atom_site_label
_atom_site_fract_x
_atom_site_fract_y
_atom_site_fract_z
Tb1 0.000 0.500 0.250
Ce1 0.000 0.000 0.000
Tm1 0.000 0.000 0.406
```

The following is a DFT calculation (PBE) of a geometry-optimized Li2Zn2AgAu5 structure.

The density of states at the Fermi level comes out at 3.06 states/eV/f.u. As for the uncorrected energy: -56.3 eV for the cell shown. The calculation puts the calculated formation energy at -0.254 eV/atom. As for the calculated volume: 17.86 Å³ per atom.

```
data_Li2Zn2AgAu5
_symmetry_space_group_name_H-M 'P 4/m b m'
_symmetry_Int_Tables_number 127
_symmetry_space_group_name_Hall '-P 4 2ab'
_cell_length_a 9.367
_cell_length_b 9.367
_cell_length_c 4.071
_cell_angle_alpha 90.00
_cell_angle_beta 90.00
_cell_angle_gamma 90.00
loop_
_atom_site_label
_atom_site_fract_x
_atom_site_fract_y
_atom_site_fract_z
Li1 0.171 0.329 0.000
Zn1 0.127 0.627 0.000
Ag1 0.000 0.000 0.000
Au1 0.000 0.500 0.500
Au2 0.084 0.802 0.500
```

The following is a DFT calculation (PBE) of a geometry-optimized PAu2C structure.

The density of states at the Fermi level comes out at 1.99 states/eV/f.u. As for the uncorrected energy: -68.0 eV for the cell shown. The calculation puts the polymorph energy (0 for the lowest one) at 0.000 eV per formula unit. The calculation puts the calculated formation energy at 1.050 eV/atom. As for the calculated volume: 17.54 Å³ per atom.

```
data_PAu2C
_symmetry_space_group_name_H-M 'I -4 2 d'
_symmetry_Int_Tables_number 122
_symmetry_space_group_name_Hall 'I -4 2bw'
_cell_length_a 4.765
_cell_length_b 4.765
_cell_length_c 12.359
_cell_angle_alpha 90.00
_cell_angle_beta 90.00
_cell_angle_gamma 90.00
loop_
_atom_site_label
_atom_site_fract_x
_atom_site_fract_y
_atom_site_fract_z
P1 0.000 0.000 0.000
Au1 0.175 0.250 0.625
C1 0.000 0.000 0.500
```

The following is a DFT calculation (PBE) of a geometry-optimized NaPuPdF6 structure.

The density of states at the Fermi level comes out at 5.74 states/eV/f.u. As for the uncorrected energy: -111.0 eV for the cell shown. The raw formation energy comes out at -2.60 eV/atom. As for the calculated volume: 16.12 Å³ per atom.

```
data_NaPuPdF6
_symmetry_space_group_name_H-M 'P -3 1 c'
_symmetry_Int_Tables_number 163
_symmetry_space_group_name_Hall '-P 3 2c'
_cell_length_a 5.9710
_cell_length_b 5.9710
_cell_length_c 9.3995
_cell_angle_alpha 90.00
_cell_angle_beta 90.00
_cell_angle_gamma 120.00
loop_
_atom_site_label
_atom_site_fract_x
_atom_site_fract_y
_atom_site_fract_z
Na1 0.3333 0.6667 0.2500
Pu1 0.3333 0.6667 0.7500
Pd1 0.0000 0.0000 0.0000
F1 0.0193 0.3523 0.6288
```

The following is a DFT calculation (PBE) of a geometry-optimized CdIrRh2 structure.

The density of states at the Fermi level comes out at 6.64 states/eV/f.u. As for the uncorrected energy: -92.6 eV for the cell shown. The calculation puts the calculated formation energy at 0.331 eV/atom. As for the calculated volume: 15.77 Å³ per atom.

```
data_CdIrRh2
_symmetry_space_group_name_H-M 'F -4 3 m'
_symmetry_Int_Tables_number 216
_symmetry_space_group_name_Hall 'F -4 2 3'
_cell_length_a 6.320
_cell_length_b 6.320
_cell_length_c 6.320
_cell_angle_alpha 90.00
_cell_angle_beta 90.00
_cell_angle_gamma 90.00
loop_
_atom_site_label
_atom_site_fract_x
_atom_site_fract_y
_atom_site_fract_z
Cd1 0.000 0.000 0.000
Ir1 0.250 0.250 0.250
Rh1 0.000 0.000 0.500
Rh2 0.250 0.250 0.750
```